Material: BeAlMo
Method: DFT, PBE
State: relaxed

Cell: 5.7163 5.7163 5.7163 Å, 90.00 90.00 90.00°
With the nearest neighbours (Å) after each atom.
Space group F-43m (No. 216)
Asymmetric unit:
Be  0.0000  0.0000  0.0000 [4 per cell]  4 Al 2.48
Al  0.2500  0.2500  0.2500 [4 per cell]  4 Mo 2.48, 4 Be 2.48
Mo  0.0000  0.0000  0.5000 [4 per cell]  4 Al 2.48

Output
total DFT energy (no corrections)	-5.397	eV per atom

Material: GdHoSi2
Method: DFT, PBE
State: relaxed

Cell: 3.8449 5.7175 7.9300 Å, 90.00 90.00 90.00°
With the nearest neighbours (Å) after each atom.
Space group Pmc2_1 (No. 26)
Asymmetric unit:
Gd  0.0000  0.1351  0.0000 [2 per cell]  7 Si 2.96-3.17
Ho  0.5000  0.3651  0.6418 [2 per cell]  7 Si 2.96-3.17
Si  0.0000  0.3789  0.3590 [2 per cell]  2 Si 2.50
Si  0.5000  0.1214  0.2830 [2 per cell]  2 Si 2.50

Output
total DFT energy (no corrections)	-5.846	eV per atom

Material: YHfPbC
Method: DFT, PBE
State: relaxed

Cell: 3.4821 3.4821 15.4666 Å, 90.00 90.00 120.00°
With the nearest neighbours (Å) after each atom.
Space group P-6m2 (No. 187)
Asymmetric unit:
Y  0.0000  0.0000  0.1746 [2 per cell]  3 C 2.50
Hf  0.6667  0.3333  0.3395 [2 per cell]  3 C 2.28
Pb  0.0000  0.0000  0.5000 [1 per cell]  6 Hf 3.19, 6 Pb 3.48
Pb  0.6667  0.3333  0.0000 [1 per cell]  6 Y 3.37, 6 Pb 3.48
C  0.3333  0.6667  0.2703 [2 per cell]  3 Hf 2.28, 3 Y 2.50

Output
total DFT energy (no corrections)	-7.919	eV per atom

Material: Dy2S2BrCl
Method: DFT, PBE
State: relaxed

Cell: 4.0296 5.3648 8.6137 Å, 90.00 90.00 90.00°
With the nearest neighbours (Å) after each atom.
Space group Pmm2 (No. 25)
Asymmetric unit:
Dy  0.0000  0.0000  0.0000 [1 per cell]  4 S 2.72-2.74, 2 Br 2.82
Dy  0.5000  0.5000  0.2672 [1 per cell]  2 Cl 2.67, 4 S 2.72-2.75
S  0.0000  0.5000  0.0501 [1 per cell]  4 Dy 2.72-2.75
S  0.5000  0.0000  0.2161 [1 per cell]  4 Dy 2.72-2.74
Br  0.5000  0.0000  0.7711 [1 per cell]  2 Dy 2.82
Cl  0.0000  0.5000  0.4710 [1 per cell]  2 Dy 2.67

Output
total DFT energy (no corrections)	-5.598	eV per atom

Material: Ga9Ir2
Method: DFT, PBE
State: relaxed

Cell: 6.4743 6.4588 8.8725 Å, 90.00 93.62 90.00°
With the nearest neighbours (Å) after each atom.
Space group Pc (No. 7)
Asymmetric unit:
Ga  0.0000  0.0253  0.0000 [2 per cell]  2 Ir 2.58-2.65, 5 Ga 2.66-2.89
Ga  0.1397  0.2396  0.7483 [2 per cell]  2 Ir 2.48-2.49, 1 Ga 2.68
Ga  0.2024  0.4576  0.4532 [2 per cell]  2 Ir 2.55-2.58, 3 Ga 2.68-2.78
Ga  0.3206  0.1608  0.2570 [2 per cell]  2 Ir 2.62, 4 Ga 2.73-2.84
Ga  0.5059  0.2385  0.9857 [2 per cell]  2 Ir 2.57-2.58, 4 Ga 2.78-2.83
Ga  0.5094  0.4500  0.7107 [2 per cell]  2 Ir 2.65-2.68, 7 Ga 2.79-2.93
Ga  0.7089  0.2611  0.4463 [2 per cell]  2 Ir 2.57-2.60, 4 Ga 2.66-2.88
Ga  0.7208  0.0530  0.7210 [2 per cell]  2 Ir 2.66-2.69, 6 Ga 2.78-2.97
Ga  0.9132  0.3591  0.1766 [2 per cell]  2 Ir 2.58-2.59, 2 Ga 2.74-2.88
Ir  0.3687  0.1222  0.5510 [2 per cell]  9 Ga 2.48-2.69
Ir  0.8463  0.3767  0.8870 [2 per cell]  9 Ga 2.49-2.66

Output
total DFT energy (no corrections)	-4.392	eV per atom

Material: ScCdCuPd
Method: DFT, PBE
State: relaxed

Cell: 6.4928 6.4928 6.4928 Å, 90.00 90.00 90.00°
With the nearest neighbours (Å) after each atom.
Space group F-43m (No. 216)
Asymmetric unit:
Sc  0.0000  0.0000  0.0000 [4 per cell]  4 Cu 2.81, 4 Pd 2.81
Cd  0.0000  0.0000  0.5000 [4 per cell]  4 Cu 2.81, 4 Pd 2.81
Cu  0.2500  0.2500  0.2500 [4 per cell]  4 Cd 2.81, 4 Sc 2.81
Pd  0.2500  0.2500  0.7500 [4 per cell]  4 Cd 2.81, 4 Sc 2.81

Output
formation energy	-1.84	eV/f.u.

Material: Dy2Tm4LuNi2Te2
Method: DFT, PBE
State: relaxed

Cell: 3.8130 15.4250 9.5017 Å, 90.00 90.00 90.00°
With the nearest neighbours (Å) after each atom.
Space group Imm2 (No. 44)
Asymmetric unit:
Dy  0.0000  0.1849  0.0000 [4 per cell]  2 Ni 2.77
Tm  0.0000  0.1453  0.3512 [4 per cell]  2 Ni 2.80, 2 Te 3.12
Tm  0.0000  0.3662  0.2044 [4 per cell]  2 Ni 2.77, 1 Te 3.09
Lu  0.0000  0.5000  0.6236 [2 per cell]  3 Te 3.18-3.21
Ni  0.0000  0.2636  0.6939 [4 per cell]  4 Tm 2.77-2.80, 2 Dy 2.77
Te  0.0000  0.0000  0.8557 [2 per cell]  4 Tm 3.16, 2 Dy 3.16, 2 Lu 3.18
Te  0.0000  0.5000  0.9618 [2 per cell]  6 Tm 3.09-3.12, 1 Lu 3.21

Output
total DFT energy (no corrections)	-5.122	eV per atom

Material: Sr2BiIr
Method: DFT, PBE
State: relaxed

Cell: 7.4381 7.4381 7.4381 Å, 90.00 90.00 90.00°
With the nearest neighbours (Å) after each atom.
Space group F-43m (No. 216)
Asymmetric unit:
Sr  0.0000  0.0000  0.0000 [4 per cell]  4 Sr 3.22, 4 Ir 3.22
Sr  0.2500  0.2500  0.2500 [4 per cell]  4 Bi 3.22, 4 Sr 3.22
Bi  0.0000  0.0000  0.5000 [4 per cell]  4 Ir 3.22, 4 Sr 3.22
Ir  0.2500  0.2500  0.7500 [4 per cell]  4 Bi 3.22, 4 Sr 3.22

Output
total DFT energy (no corrections)	-4.175	eV per atom

Material: Li2Nb2AlGaNi2
Method: DFT, PBE
State: relaxed

Cell: 4.2385 4.2385 5.9955 Å, 90.00 90.00 90.00°
With the nearest neighbours (Å) after each atom.
Space group P-4m2 (No. 115)
Asymmetric unit:
Li  0.0000  0.5000  0.2475 [2 per cell]  4 Nb 2.59-2.60, 2 Ga 2.59, 2 Al 2.60
Nb  0.0000  0.0000  0.5000 [1 per cell]  4 Ni 2.59, 4 Li 2.60
Nb  0.5000  0.5000  0.0000 [1 per cell]  4 Li 2.59, 4 Ni 2.61
Al  0.5000  0.5000  0.5000 [1 per cell]  4 Ni 2.59, 4 Li 2.60
Ga  0.0000  0.0000  0.0000 [1 per cell]  4 Li 2.59, 4 Ni 2.61
Ni  0.0000  0.5000  0.7473 [2 per cell]  2 Al 2.59, 4 Nb 2.59-2.61, 2 Ga 2.61

Output
total DFT energy (no corrections)	-5.437	eV per atom

Material: Hf2InCu2
Method: DFT, PBE
State: relaxed

Cell: 7.2060 7.2060 6.7258 Å, 90.00 90.00 90.00°
With the nearest neighbours (Å) after each atom.
Space group P4_2/mnm (No. 136)
Asymmetric unit:
Hf  0.1497  0.1497  0.0000 [4 per cell]  6 Cu 2.68-2.82
Hf  0.1962  0.1962  0.5000 [4 per cell]  6 Cu 2.71-2.73
In  0.0000  0.5000  0.2500 [4 per cell]  4 Cu 2.88, 8 Hf 3.10-3.22
Cu  0.1225  0.8775  0.2998 [8 per cell]  2 Cu 2.50-2.69, 4 Hf 2.68-2.73

Output
total DFT energy (no corrections)	-6.243	eV per atom

Material: YTe2Pd2
Method: DFT, PBE
State: relaxed

Cell: 5.1868 5.1868 8.7690 Å, 90.00 90.00 90.00°
With the nearest neighbours (Å) after each atom.
Space group I4/mmm (No. 139)
Asymmetric unit:
Y  0.0000  0.0000  0.0000 [2 per cell]  2 Pd 3.01
Te  0.0000  0.5000  0.2500 [4 per cell]  4 Pd 2.72
Pd  0.0000  0.0000  0.3434 [4 per cell]  4 Te 2.72, 1 Pd 2.75, 1 Y 3.01

Output
total DFT energy (no corrections)	-5.195	eV per atom

Material: SrPuPt
Method: DFT, PBE
State: relaxed

Cell: 6.9866 6.9866 6.9866 Å, 90.00 90.00 90.00°
With the nearest neighbours (Å) after each atom.
Space group F-43m (No. 216)
Asymmetric unit:
Sr  0.0000  0.0000  0.0000 [4 per cell]  4 Pu 3.03
Pu  0.2500  0.2500  0.7500 [4 per cell]  4 Sr 3.03, 4 Pt 3.03
Pt  0.0000  0.0000  0.5000 [4 per cell]  4 Pu 3.03

Output
total DFT energy (no corrections)	-7.238	eV per atom

Number 1: mass density 4692 kg/m3, M_tot 4.1 μB/cell. Number 2: mass density 7208 kg/m3, M_tot 0.0 μB/cell. Number 3: mass density 9950 kg/m3, M_tot 0.0 μB/cell. Number 4: mass density 4499 kg/m3, M_tot 0.0 μB/cell. Number 5: mass density 9076 kg/m3, M_tot 0.0 μB/cell. Number 6: mass density 7943 kg/m3, M_tot 0.0 μB/cell. Number 7: mass density 9201 kg/m3, M_tot 0.0 μB/cell. Number 8: mass density 9304 kg/m3, M_tot 0.0 μB/cell. Number 9: mass density 6379 kg/m3, M_tot 0.0 μB/cell. Number 10: mass density 11390 kg/m3, M_tot 0.6 μB/cell. Number 11: mass density 7841 kg/m3, M_tot 0.0 μB/cell. Number 12: mass density 10258 kg/m3, M_tot 24.9 μB/cell.